Entry 1:
The following is a GGA-PBE calculation of an optimized crystal structure of GaGeBiPb, from Alexandria.

Structure (POSCAR):
```
GaGeBiPb
1.0
-3.8429 -1.7300 -3.1511
1.1723 -2.9017 -4.2303
-1.2172 -5.1184 -0.0992
Pb Ge Bi Ga
1 1 1 1
direct
0.5000 0.5000 0.5000 Pb
0.2500 0.2500 0.2500 Ge
0.0000 0.0000 0.0000 Bi
0.7500 0.7500 0.7500 Ga
```

Properties
The space-group type is No. 216. The final energy comes out at -14.580 eV for the cell shown. As for the density of states at the Fermi level: 3.2 states/eV/cell.


Entry 2:
The following is a GGA-PBE calculation of an optimized crystal structure of YF, from Alexandria.

Structure (POSCAR):
```
YF
1.0
-0.1213 5.6468 -5.3916
-9.2036 -4.0133 -3.9962
-3.9614 4.4035 4.7011
Y F
16 16
direct
0.2627 0.0000 0.0000 Y
0.7373 0.0000 0.0000 Y
0.9873 0.7500 0.2500 Y
0.5127 0.7500 0.2500 Y
0.2627 0.5000 0.5000 Y
0.7373 0.5000 0.5000 Y
0.9873 0.2500 0.7500 Y
0.5127 0.2500 0.7500 Y
0.7627 0.0000 0.5000 Y
0.2373 0.0000 0.5000 Y
0.4873 0.7500 0.7500 Y
0.0127 0.7500 0.7500 Y
0.7627 0.5000 0.0000 Y
0.2373 0.5000 0.0000 Y
0.4873 0.2500 0.2500 Y
0.0127 0.2500 0.2500 Y
0.0000 0.8796 0.0000 F
0.0000 0.1204 0.0000 F
0.2500 0.8704 0.2500 F
0.2500 0.6296 0.2500 F
0.0000 0.3796 0.5000 F
0.0000 0.6204 0.5000 F
0.2500 0.3704 0.7500 F
0.2500 0.1296 0.7500 F
0.5000 0.8796 0.5000 F
0.5000 0.1204 0.5000 F
0.7500 0.8704 0.7500 F
0.7500 0.6296 0.7500 F
0.5000 0.3796 0.0000 F
0.5000 0.6204 0.0000 F
0.7500 0.3704 0.2500 F
0.7500 0.1296 0.2500 F
```

Properties
The space-group type is No. 70. As for the distance to the lowest polymorph of the same formula: 13 meV/atom. The final energy comes out at -215.853 eV for the cell shown. The calculation puts the uncorrected formation energy at -2.578 eV per atom. As for the density of states at the Fermi level: 25.3 states/eV/cell.